Here is an optimized crystal structure of Nd8Tm3Mg2 from Alexandria. Energies are from PBE-GGA.

CIF file:
```
data_Nd8Tm3Mg2
_cell_length_a 6.3842
_cell_length_b 7.3803
_cell_length_c 9.6196
_cell_angle_alpha 90.53
_cell_angle_beta 91.03
_cell_angle_gamma 109.25
_space_group_name_H-M_alt 'P -1'
_space_group_IT_number 2
loop_
_space_group_symop_operation_xyz
'x,y,z'
'-x,-y,-z'
loop_
_atom_site_label
_atom_site_type_symbol
_atom_site_fract_x
_atom_site_fract_y
_atom_site_fract_z
Nd1 Nd 0.0417 0.3750 0.3528
Nd2 Nd 0.0481 0.8674 0.3205
Nd3 Nd 0.3992 0.9682 0.8219
Nd4 Nd 0.4381 0.4722 0.8065
Tm1 Tm 0.0000 0.5000 0.0000
Tm2 Tm 0.4889 0.2416 0.5010
Mg1 Mg 0.1700 0.1603 0.0606
```

**Energy of formation from the pure elements**: 1.0 eV per formula unit
**N(E_F)**: 18.6 states/eV/f.u.